(1)
Pm3GaCu2Pt9, optimized geometry, DFT PBE; ΔH_f (0 K) = -9.7 kcal/mol of atoms; Fermi-level density of states = 3.86 states/eV/cell; M_tot = 0.00 μB/cell; space group = P-3m1
1.0
7.6535 0.0000 0.0000
-3.8267 6.6281 0.0000
0.0000 0.0000 6.0056
Pm Ga Cu Pt
3 1 2 9
Cartesian
0.0000 4.4187 4.0202
0.0000 0.0000 0.0000
3.8267 2.2094 1.9854
0.0000 0.0000 3.0028
0.0000 4.4187 0.9992
3.8267 2.2094 5.0064
5.7470 1.1007 4.0348
3.8267 4.4267 4.0348
1.9065 1.1007 4.0348
1.9203 5.5274 1.9708
0.0000 2.2014 1.9708
-1.9203 5.5274 1.9708
3.8267 0.0000 0.0000
-1.9134 3.3141 0.0000
1.9134 3.3141 0.0000

(2)
Pm2Ga3Cu4Pt, optimized geometry, DFT PBE; ΔH_f (0 K) = -10.5 kcal/mol of atoms; Fermi-level density of states = 6.93 states/eV/cell; M_tot = 0.00 μB/cell; space group = P-4m2
1.0
4.1586 0.0000 0.0000
0.0000 4.1586 0.0000
0.0000 0.0000 10.3642
Pm Ga Cu Pt
2 3 4 1
Cartesian
2.0793 0.0000 2.6017
0.0000 2.0793 7.7625
0.0000 0.0000 5.1821
2.0793 0.0000 9.0623
0.0000 2.0793 1.3019
2.0793 2.0793 0.0000
0.0000 0.0000 0.0000
2.0793 0.0000 6.6539
0.0000 2.0793 3.7102
2.0793 2.0793 5.1821

(3)
PmGa2CuPt, optimized geometry, DFT PBE; ΔH_f (0 K) = -15.3 kcal/mol of atoms; Fermi-level density of states = 4.22 states/eV/cell; M_tot = 0.00 μB/cell; space group = I-4m2
1.0
4.2626 0.0000 0.0000
0.0000 4.2626 0.0000
-2.1313 -2.1313 5.1572
Pm Ga Cu Pt
1 2 1 1
Cartesian
0.0000 0.0000 0.0000
2.1313 2.1313 1.2728
0.0000 0.0000 3.8844
2.1313 0.0000 2.5786
0.0000 2.1313 2.5786

(4)
Pm2Ga3CuPt4, optimized geometry, DFT PBE; ΔH_f (0 K) = -20.3 kcal/mol of atoms; Fermi-level density of states = 6.28 states/eV/cell; M_tot = 0.00 μB/cell; space group = P-4m2
1.0
4.1257 0.0000 0.0000
0.0000 4.1257 0.0000
0.0000 0.0000 11.1087
Pm Ga Cu Pt
2 3 1 4
Cartesian
2.0628 0.0000 2.8336
0.0000 2.0628 8.2751
0.0000 0.0000 5.5544
2.0628 0.0000 9.6246
0.0000 2.0628 1.4841
2.0628 2.0628 5.5544
2.0628 2.0628 0.0000
0.0000 0.0000 0.0000
2.0628 0.0000 7.1208
0.0000 2.0628 3.9879

(5)
Pm2GaCu2Pt5, optimized geometry, DFT PBE; ΔH_f (0 K) = -17.9 kcal/mol of atoms; Fermi-level density of states = 5.66 states/eV/cell; M_tot = 0.00 μB/cell; space group = P4/mbm
1.0
-1.6990 0.1622 3.4623
-7.3426 -5.0523 -3.3664
4.3901 -8.0676 2.5323
Pm Ga Cu Pt
4 2 4 10
Cartesian
-4.1902 -4.8321 -1.8298
1.2377 -8.2878 0.9957
0.1329 -3.5038 0.2294
-3.0854 -9.6161 -1.0635
0.0000 0.0000 0.0000
-1.4762 -6.5599 -0.4171
1.8323 -5.6456 1.1637
-4.7848 -7.4743 -1.9978
-0.7226 -10.2233 0.1244
-2.2299 -2.8966 -0.9585
-2.0664 -1.4718 1.2067
-2.5850 -11.4859 1.4214
2.1698 -6.6641 3.5288
-4.1093 -6.9905 0.4628
-6.8213 -6.2935 -0.9007
-0.5422 -5.9672 2.1653
-1.9026 -8.4532 1.6143
-2.7489 -4.5044 1.0139
-4.5208 -2.4450 0.0479
1.3456 -3.9527 2.9973

(6)
PmGa2CuRh, optimized geometry, DFT PBE; ΔH_f (0 K) = -13.1 kcal/mol of atoms; Fermi-level density of states = 3.49 states/eV/cell; M_tot = 0.00 μB/cell; space group = I-4m2
1.0
4.1464 0.0000 0.0000
0.0000 4.1464 0.0000
-2.0732 -2.0732 5.3269
Pm Ga Cu Rh
1 2 1 1
Cartesian
0.0000 0.0000 0.0000
2.0732 2.0732 1.3021
0.0000 0.0000 4.0248
0.0000 2.0732 2.6635
2.0732 0.0000 2.6635

(7)
PmGa4CuRh2, optimized geometry, DFT PBE; ΔH_f (0 K) = -12.4 kcal/mol of atoms; Fermi-level density of states = 3.78 states/eV/cell; M_tot = 0.00 μB/cell; space group = R-3m
1.0
4.2765 0.0000 0.0000
2.1382 3.7035 0.0000
2.1382 1.2345 8.6538
Pm Ga Cu Rh
1 4 1 2
Cartesian
0.0000 0.0000 0.0000
4.2765 2.4690 6.9015
6.4147 3.7035 3.3561
2.1382 1.2345 5.2977
4.2765 2.4690 1.7524
4.2765 2.4690 4.3269
6.4147 3.7035 5.9503
2.1382 1.2345 2.7035

(8)
PmGa3CuRh, optimized geometry, DFT PBE; ΔH_f (0 K) = -8.6 kcal/mol of atoms; Fermi-level density of states = 5.03 states/eV/cell; M_tot = 0.00 μB/cell; space group = Cmcm
1.0
6.3511 0.0000 0.0000
0.0000 6.1623 0.0000
0.0000 -3.0812 5.8374
Pm Ga Cu Rh
2 6 2 2
Cartesian
4.7633 0.0000 3.2619
1.5878 3.0812 2.5755
1.5878 0.0000 1.9772
0.0000 1.7550 0.0000
3.1755 4.4073 0.0000
3.1755 1.7550 0.0000
0.0000 4.4073 0.0000
4.7633 3.0812 3.8602
1.5878 3.0812 5.3833
4.7633 0.0000 0.4541
1.5878 0.0000 4.3888
4.7633 3.0812 1.4486

(9)
PmGaCu2Rh, optimized geometry, DFT PBE; ΔH_f (0 K) = -9.3 kcal/mol of atoms; Fermi-level density of states = 2.80 states/eV/cell; M_tot = 0.00 μB/cell; space group = Imm2
1.0
3.9405 0.0000 0.0000
0.0000 4.1231 0.0000
-1.9703 -2.0615 5.3716
Pm Ga Cu Rh
1 1 2 1
Cartesian
0.0000 0.0000 4.8867
1.9703 2.0615 3.4886
1.9703 0.0000 2.0853
0.0000 0.0000 0.5529
0.0000 2.0615 2.0088

(10)
PmGaCuRh, optimized geometry, DFT PBE; ΔH_f (0 K) = -8.9 kcal/mol of atoms; Fermi-level density of states = 2.68 states/eV/cell; M_tot = 0.00 μB/cell; space group = F-43m
1.0
4.6724 0.0000 0.0000
2.3362 4.0465 0.0000
2.3362 1.3488 3.8150
Rh Cu Ga Pm
1 1 1 1
Cartesian
7.0087 4.0465 2.8613
2.3362 1.3488 0.9538
0.0000 0.0000 0.0000
4.6724 2.6976 1.9075

(11)
Pm2Ga3CuRh4, optimized geometry, DFT PBE; ΔH_f (0 K) = -16.1 kcal/mol of atoms; Fermi-level density of states = 4.85 states/eV/cell; M_tot = 0.00 μB/cell; space group = P-4m2
1.0
-3.3778 -1.5828 2.0024
2.0058 -3.7000 0.4590
3.8236 3.1852 8.9675
Pm Ga Cu Rh
2 3 1 4
Cartesian
-0.7420 -0.0025 3.2221
3.8795 0.5464 6.9761
1.9118 1.5926 4.4838
1.6508 1.9908 8.8339
1.4868 -1.4469 1.3644
1.2258 -1.0488 5.7145
-0.6860 -2.6414 1.2307
0.0000 0.0000 0.0000
0.7353 1.2281 6.6867
2.4023 -0.6842 3.5115

(12)
Pm2GaCu2Rh5, optimized geometry, DFT PBE; ΔH_f (0 K) = -10.5 kcal/mol of atoms; Fermi-level density of states = 19.38 states/eV/cell; M_tot = 0.00 μB/cell; space group = P4/mbm
1.0
3.7870 0.0000 0.0000
0.0000 9.4250 0.0000
0.0000 0.0000 9.4250
Pm Ga Cu Rh
4 2 4 10
Cartesian
0.0000 6.3656 1.6531
0.0000 3.0594 7.7719
0.0000 1.6531 3.0594
0.0000 7.7719 6.3656
0.0000 0.0000 0.0000
0.0000 4.7125 4.7125
0.0000 1.1568 5.8693
0.0000 8.2683 3.5557
0.0000 5.8693 8.2683
0.0000 3.5557 1.1568
1.8935 1.8992 0.6142
1.8935 7.5258 8.8109
1.8935 0.6142 7.5258
1.8935 6.6117 4.0983
1.8935 8.8109 1.8992
1.8935 2.8133 5.3267
1.8935 5.3267 6.6117
1.8935 4.0983 2.8133
1.8935 4.7125 0.0000
1.8935 0.0000 4.7125